1.
Crystalline AcPrPtPb at its relaxed geometry. Source: Alexandria, functional PBE.

Cell: 7.800 7.800 7.800 Å, 90.00 90.00 90.00°
Space group F-43m (No. 216)
One atom of each set of equivalent atoms:
1 Ac 0.000 0.000 0.000 (multiplicity 4)
2 Pr 0.000 0.000 0.500 (multiplicity 4)
3 Pt 0.250 0.250 0.750 (multiplicity 4)
4 Pb 0.250 0.250 0.250 (multiplicity 4)

Properties
Energy of formation = -61.4 kJ/mol of atoms
DOS at the Fermi energy = 6.1 states/eV per cell



2.
Crystalline AcPrPuPb at its relaxed geometry. Source: Alexandria, functional PBE.

Cell: 8.052 8.052 8.052 Å, 90.00 90.00 90.00°
Space group F-43m (No. 216)
One atom of each set of equivalent atoms:
1 Ac 0.000 0.000 0.000 (multiplicity 4)
2 Pr 0.250 0.250 0.250 (multiplicity 4)
3 Pu 0.250 0.250 0.750 (multiplicity 4)
4 Pb 0.000 0.000 0.500 (multiplicity 4)

Properties
Energy of formation = 3.8 kJ/mol of atoms
DOS at the Fermi energy = 60.0 states/eV per cell



3.
Crystalline Ac2PrRh4Pb3 at its relaxed geometry. Source: Alexandria, functional PBE.

Cell: 4.596 4.596 11.912 Å, 90.00 90.00 90.00°
Space group P-4m2 (No. 115)
One atom of each set of equivalent atoms:
1 Ac 0.000 0.500 0.232 (multiplicity 2)
2 Pr 0.000 0.000 0.500 (multiplicity 1)
3 Rh 0.000 0.000 0.000 (multiplicity 1)
4 Rh 0.000 0.500 0.650 (multiplicity 2)
5 Rh 0.500 0.500 0.000 (multiplicity 1)
6 Pb 0.000 0.500 0.877 (multiplicity 2)
7 Pb 0.500 0.500 0.500 (multiplicity 1)

Properties
Energy of formation = -46.1 kJ/mol of atoms
DOS at the Fermi energy = 7.6 states/eV per cell